(1)
The following is a DFT calculation (GGA-PBE) of crystalline SrCaCl3 at its relaxed geometry.

The structure belongs to space group Pm-3m (No. 221); the cell edges are 5.4446, 5.4446 and 5.4446 Å and the angles 90.00°, 90.00° and 90.00°. Symmetry generates all atoms from Sr at (0.0000, 0.0000, 0.0000), Ca at (0.5000, 0.5000, 0.5000) and Cl at (0.0000, 0.5000, 0.5000).

The theoretical density is 2.4 g/cm3. The uncorrected energy is -18.6 eV for the cell shown. The energy above the lowest structure with this stoichiometry is 0.000 eV per atom. The value obtained for the formation energy without anion corrections is -9.35 eV/f.u.

(2)
The following is a DFT calculation (GGA-PBE) of crystalline YCrPb at its relaxed geometry.

The structure belongs to space group P-6m2 (No. 187); the cell edges are 4.8608, 4.8608 and 3.5944 Å and the angles 90.00°, 90.00° and 120.00°. Symmetry generates all atoms from Y at (0.0000, 0.0000, 0.0000), Cr at (0.6667, 0.3333, 0.5000) and Pb at (0.3333, 0.6667, 0.5000).

The theoretical density is 7.9 g/cm3. The uncorrected energy is -19.7 eV for the cell shown. The calculation puts the energy of formation from the pure elements at 0.040 eV/atom.

(3)
The following is a DFT calculation (GGA-PBE) of crystalline ThMgGa5Pd2 at its relaxed geometry.

The structure belongs to space group P4/mmm (No. 123); the cell edges are 4.2904, 4.2904 and 10.8820 Å and the angles 90.00°, 90.00° and 90.00°. Symmetry generates all atoms from Th at (0.0000, 0.0000, 0.0000), Mg at (0.0000, 0.0000, 0.5000), Ga at (0.0000, 0.5000, 0.3302), Ga at (0.5000, 0.5000, 0.0000) and Pd at (0.5000, 0.5000, 0.2157).

The theoretical density is 6.8 g/cm3. The uncorrected energy is -36.1 eV for the cell shown. The calculation puts the energy of formation from the pure elements at -0.173 eV/atom.

(4)
The following is a DFT calculation (GGA-PBE) of crystalline Mn2AgTe4 at its relaxed geometry.

The structure belongs to space group C2/c (No. 15); the cell edges are 11.5252, 11.6152 and 8.1543 Å and the angles 90.00°, 134.88° and 90.00°. Symmetry generates all atoms from Mn at (0.0000, 0.0000, 0.0000), Mn at (0.2500, 0.2500, 0.0000), Ag at (0.0000, 0.3752, 0.2500), Te at (0.0006, 0.2370, 0.5245) and Te at (0.2262, 0.0132, 0.9759).

The theoretical density is 6.3 g/cm3. The uncorrected energy is -139.8 eV for the cell shown. The value obtained for the formation energy without anion corrections is -1.18 eV/f.u.

(5)
The following is a DFT calculation (GGA-PBE) of crystalline TcAgSe at its relaxed geometry.

The structure belongs to space group P3m1 (No. 156); the cell edges are 3.0781, 3.0781 and 6.9131 Å and the angles 90.00°, 90.00° and 120.00°. Symmetry generates all atoms from Tc at (0.0000, 0.0000, 0.0000), Ag at (0.6667, 0.3333, 0.3357) and Se at (0.3333, 0.6667, 0.7624).

The theoretical density is 8.3 g/cm3. The uncorrected energy is -16.3 eV for the cell shown. The energy above the lowest structure with this stoichiometry is 0.000 eV per atom. The value obtained for the formation energy without anion corrections is 0.37 eV/f.u.

(6)
The following is a DFT calculation (GGA-PBE) of crystalline KCdS2Cl at its relaxed geometry.

The structure belongs to space group P4/mmm (No. 123); the cell edges are 5.9636, 5.9636 and 5.7311 Å and the angles 90.00°, 90.00° and 90.00°. Symmetry generates all atoms from K at (0.0000, 0.0000, 0.0000), Cd at (0.5000, 0.5000, 0.5000), S at (0.0000, 0.5000, 0.0000) and Cl at (0.0000, 0.0000, 0.5000).

The theoretical density is 2.0 g/cm3. The uncorrected energy is -9.5 eV for the cell shown. The energy above the lowest structure with this stoichiometry is 0.946 eV per atom. The value obtained for the formation energy without anion corrections is 2.60 eV/f.u.

The lowest uncorrected energy belongs to which entry?
Mn2AgTe4